VASP calculation (PBE) on an optimized crystal structure of TaBeSb4.

Values from the calculation:
For the magnetization, the calculation gives 0.0 μB/f.u. Its space group is F-43m. The value obtained for the volume is 25.3 Å³ per atom. For the raw formation energy, the calculation gives 1.2041 eV/atom.

Lattice parameters (Å, degrees): 5.987 5.987 5.987 60.00 60.00 60.00
Atoms (fractional coordinates):
Ta: 0.000 0.000 0.000
Be: 0.750 0.750 0.750
Sb: 0.375 0.375 0.375
Sb: 0.375 0.375 0.876
Sb: 0.375 0.876 0.375
Sb: 0.876 0.375 0.375